Computed, not measured: crystalline In2WO6 at its relaxed geometry at the GGA-PBEsol level of DFT.

a = 5.1175 Å, b = 7.3761 Å, c = 11.6633 Å
α = 97.81°, β = 90.00°, γ = 90.00°
Element x y z (fractional)
O 0.4314 0.1561 0.9438
W 0.2715 0.7361 0.1044
O 0.4090 0.4991 0.3831
W 0.2715 0.2639 0.3956
In 0.2913 0.5000 0.7500
O 0.0137 0.6933 0.2262
O 0.0899 0.0303 0.3749
O 0.9863 0.6933 0.7262
O 0.5686 0.1561 0.4438
In 0.7668 0.7671 0.8959
In 0.2332 0.7671 0.3959
W 0.7285 0.7361 0.6044
O 0.5083 0.7908 0.2645
In 0.2332 0.2329 0.1041
O 0.8869 0.3381 0.0332
O 0.1131 0.3381 0.5332
In 0.7668 0.2329 0.6041
In 0.7798 0.0000 0.2500
O 0.4090 0.5009 0.1169
O 0.9101 0.0303 0.8749
O 0.0137 0.3067 0.2738
O 0.0899 0.9697 0.1251
O 0.9863 0.3067 0.7738
In 0.2202 0.0000 0.7500
In 0.7087 0.5000 0.2500
W 0.7285 0.2639 0.8956
O 0.5910 0.4991 0.8831
O 0.4917 0.2092 0.7355
O 0.5083 0.2092 0.2355
O 0.4314 0.8439 0.5562
O 0.1131 0.6619 0.9668
O 0.8869 0.6619 0.4668
O 0.5910 0.5009 0.6169
O 0.9101 0.9697 0.6251
O 0.5686 0.8439 0.0562
O 0.4917 0.7908 0.7645

Results
- DFT total energy: -7.505 eV/atom

***

Computed, not measured: crystalline In6WO12 at its relaxed geometry at the GGA-PBEsol level of DFT.

a = 6.2602 Å, b = 6.2602 Å, c = 6.2602 Å
α = 99.12°, β = 99.12°, γ = 99.12°
Element x y z (fractional)
O 0.4141 0.5941 0.1760
O 0.1760 0.4141 0.5941
O 0.0412 0.7042 0.8973
In 0.8602 0.3945 0.6769
W 0.0000 0.0000 0.0000
O 0.1027 0.9588 0.2958
O 0.4059 0.8240 0.5859
In 0.1398 0.6055 0.3231
In 0.6055 0.3231 0.1398
O 0.8240 0.5859 0.4059
O 0.5941 0.1760 0.4141
In 0.6769 0.8602 0.3945
O 0.7042 0.8973 0.0412
O 0.9588 0.2958 0.1027
In 0.3231 0.1398 0.6055
O 0.2958 0.1027 0.9588
O 0.8973 0.0412 0.7042
In 0.3945 0.6769 0.8602
O 0.5859 0.4059 0.8240

Results
- DFT total energy: -6.696 eV/atom

***

Computed, not measured: crystalline InWO2 at its relaxed geometry at the GGA-PBEsol level of DFT.

a = 2.8557 Å, b = 2.8557 Å, c = 7.5903 Å
α = 79.16°, β = 79.16°, γ = 60.00°
Element x y z (fractional)
In 0.0000 0.0000 0.0000
W 0.5000 0.5000 0.5000
O 0.1071 0.1071 0.6787
O 0.8929 0.8929 0.3213

Results
- DFT total energy: -8.022 eV/atom

***

Computed, not measured: crystalline In2WO6 at its relaxed geometry at the GGA-PBEsol level of DFT.

a = 4.8257 Å, b = 8.9347 Å, c = 20.5698 Å
α = 90.00°, β = 90.00°, γ = 90.00°
Element x y z (fractional)
O 0.7284 0.5235 0.5137
W 0.9937 0.0043 0.3119
O 0.7274 0.1386 0.7649
In 0.0061 0.8571 0.1713
O 0.2822 0.8467 0.8554
O 0.7251 0.6541 0.6527
W 0.5052 0.9949 0.0606
In 0.0012 0.8124 0.7005
In 0.4966 0.1296 0.4390
O 0.7188 0.6397 0.3910
In 0.9980 0.7899 0.4334
O 0.2294 0.6686 0.2177
In 0.5061 0.6429 0.8287
O 0.2114 0.1679 0.5936
In 0.4939 0.1429 0.6713
In 0.9939 0.3571 0.3287
O 0.2726 0.6386 0.7351
O 0.2322 0.4785 0.1118
W 0.0063 0.5043 0.1881
O 0.7248 0.4894 0.7645
In 0.5012 0.6876 0.2995
O 0.7294 0.8314 0.7823
O 0.2678 0.5215 0.6118
O 0.7812 0.3603 0.8910
O 0.7701 0.1586 0.5248
O 0.2274 0.3614 0.2351
O 0.2188 0.8603 0.6090
O 0.2749 0.1541 0.8473
O 0.7738 0.8523 0.5189
O 0.7822 0.6533 0.1446
O 0.7256 0.0188 0.1381
W 0.4948 0.4949 0.4394
In 0.4980 0.7101 0.5666
O 0.7678 0.9785 0.3882
O 0.2744 0.5188 0.3619
O 0.2701 0.3414 0.4752
O 0.7744 0.9812 0.6381
O 0.7299 0.8414 0.0248
O 0.7262 0.1477 0.0189
In 0.9966 0.3704 0.5610
In 0.5034 0.6296 0.0610
O 0.7749 0.3459 0.1527
O 0.2251 0.8459 0.3473
W 0.5063 0.9957 0.8119
O 0.7322 0.0215 0.8882
O 0.2738 0.6477 0.4811
In 0.0020 0.2899 0.0666
O 0.2886 0.8321 0.0936
O 0.7114 0.3321 0.4064
In 0.0034 0.8704 0.9390
O 0.2248 0.0106 0.2355
O 0.2178 0.1533 0.3554
In 0.5020 0.2101 0.9334
W 0.0052 0.5051 0.9394
O 0.2752 0.9894 0.7355
O 0.2716 0.0235 0.9863
O 0.7716 0.4765 0.0137
O 0.7752 0.5106 0.2645
In 0.9988 0.3124 0.7995
O 0.7706 0.1686 0.2823
O 0.7726 0.8614 0.2649
O 0.7886 0.6679 0.9064
O 0.2262 0.3523 0.9811
O 0.2706 0.3314 0.7177
O 0.2299 0.6586 0.9752
In 0.4988 0.1876 0.2005
O 0.2256 0.4812 0.8619
O 0.2812 0.1397 0.1090
O 0.2284 0.9765 0.4863
W 0.4937 0.4957 0.6881
O 0.7178 0.3467 0.6446
W 0.9948 0.0051 0.5606

Results
- DFT total energy: -7.519 eV/atom

***

Computed, not measured: crystalline YIn3O at its relaxed geometry at the GGA-PBEsol level of DFT.

a = 4.7544 Å, b = 4.7544 Å, c = 4.7544 Å
α = 90.00°, β = 90.00°, γ = 90.00°
Element x y z (fractional)
In 0.0000 0.0000 0.5000
In 0.5000 0.0000 0.0000
In 0.0000 0.5000 0.0000
Y 0.5000 0.5000 0.5000
O 0.0000 0.0000 0.0000

Results
- DFT total energy: -4.656 eV/atom

***

Computed, not measured: crystalline Zn2In2O5 at its relaxed geometry at the GGA-PBEsol level of DFT.

a = 3.4324 Å, b = 3.4324 Å, c = 22.8145 Å
α = 90.00°, β = 90.00°, γ = 120.00°
Element x y z (fractional)
O 0.3333 0.6667 0.0613
In 0.0000 0.0000 0.8113
Zn 0.3333 0.6667 0.9420
Zn 0.3333 0.6667 0.1807
O 0.3333 0.6667 0.4656
O 0.6667 0.3333 0.7664
O 0.3333 0.6667 0.6571
O 0.6667 0.3333 0.1571
In 0.3333 0.6667 0.5614
O 0.6667 0.3333 0.5613
Zn 0.6667 0.3333 0.4420
O 0.6667 0.3333 0.3562
In 0.0000 0.0000 0.3113
O 0.3333 0.6667 0.8562
Zn 0.6667 0.3333 0.6807
In 0.6667 0.3333 0.0614
O 0.6667 0.3333 0.9656
O 0.3333 0.6667 0.2664

Results
- DFT total energy: -5.377 eV/atom

***

Computed, not measured: crystalline InOs3 at its relaxed geometry at the GGA-PBEsol level of DFT.

a = 2.8129 Å, b = 2.8129 Å, c = 8.8672 Å
α = 90.00°, β = 90.00°, γ = 120.00°
Element x y z (fractional)
Os 0.0000 0.0000 0.5000
Os 0.3333 0.6667 0.7330
Os 0.3333 0.6667 0.2670
In 0.0000 0.0000 0.0000

Results
- Excess energy over the best structure of this formula in the dataset: 0 meV/atom
- DFT formation energy: 1.22 eV/f.u.

***

Computed, not measured: crystalline InOs3 at its relaxed geometry at the GGA-PBEsol level of DFT.

a = 2.7907 Å, b = 4.7864 Å, c = 4.8293 Å
α = 99.10°, β = 90.00°, γ = 106.95°
Element x y z (fractional)
Os 0.7601 0.5202 0.2712
Os 0.2399 0.4798 0.7288
Os 0.5000 0.0000 0.5000
In 0.0000 0.0000 0.0000

Results
- Excess energy over the best structure of this formula in the dataset: 167 meV/atom
- DFT formation energy: 1.89 eV/f.u.

***

Computed, not measured: crystalline InOs3 at its relaxed geometry at the GGA-PBEsol level of DFT.

a = 4.8962 Å, b = 4.8962 Å, c = 4.8962 Å
α = 90.00°, β = 90.00°, γ = 90.00°
Element x y z (fractional)
Os 0.5000 0.0000 0.0000
In 0.0000 0.0000 0.0000
Os 0.0000 0.0000 0.5000
Os 0.0000 0.5000 0.0000

Results
- Excess energy over the best structure of this formula in the dataset: 4038 meV/atom
- DFT formation energy: 17.38 eV/f.u.

***

Computed, not measured: crystalline InP2Os2 at its relaxed geometry at the GGA-PBEsol level of DFT.

a = 3.7156 Å, b = 3.7156 Å, c = 6.2582 Å
α = 107.27°, β = 107.27°, γ = 90.00°
Element x y z (fractional)
In 0.0000 0.0000 0.0000
Os 0.3717 0.3717 0.7435
P 0.7500 0.2500 0.5000
P 0.2500 0.7500 0.5000
Os 0.6283 0.6283 0.2565

Results
- DFT formation energy: -0.33 eV/f.u.

***

Computed, not measured: crystalline InPOs2 at its relaxed geometry at the GGA-PBEsol level of DFT.

a = 2.9307 Å, b = 2.9307 Å, c = 6.7540 Å
α = 90.00°, β = 90.00°, γ = 90.00°
Element x y z (fractional)
Os 0.0000 0.0000 0.2039
In 0.5000 0.5000 0.5000
P 0.5000 0.5000 0.0000
Os 0.0000 0.0000 0.7961

Results
- Excess energy over the best structure of this formula in the dataset: 39 meV/atom
- DFT formation energy: 0.62 eV/f.u.

***

Computed, not measured: crystalline InPOs2 at its relaxed geometry at the GGA-PBEsol level of DFT.

a = 2.9555 Å, b = 3.0402 Å, c = 7.3253 Å
α = 101.98°, β = 101.64°, γ = 90.00°
Element x y z (fractional)
In 0.3049 0.8049 0.6098
P 0.5488 0.5488 0.0976
Os 0.9753 0.9753 0.9506
Os 0.6710 0.1710 0.3420

Results
- Excess energy over the best structure of this formula in the dataset: 0 meV/atom
- DFT formation energy: 0.46 eV/f.u.

***

Question: Which formula does entry 3 have?
Answer: InWO2